# 1
! BaTaCr2 | Alexandria | PBE | optimized geometry; values from VASP
! Offset from the most stable computed form (eV/atom): 0.1438
&SYSTEM
  ibrav = 0, nat = 4, ntyp = 3
/
ATOMIC_SPECIES
Cr 52.00 Cr.upf
Ba 137.33 Ba.upf
Ta 180.95 Ta.upf
ATOMIC_POSITIONS angstrom
Cr 4.688 1.612 2.382
Ba 7.003 2.408 4.910
Cr 8.630 2.967 0.891
Ta 2.334 0.803 1.637
CELL_PARAMETERS angstrom
4.836 -0.001 0.000
3.813 2.975 0.000
0.689 0.237 6.546

***

# 2
! BaTaCr2 | Alexandria | PBE | optimized geometry; values from VASP
! Offset from the most stable computed form (eV/atom): 0.0667
&SYSTEM
  ibrav = 0, nat = 4, ntyp = 3
/
ATOMIC_SPECIES
Cr 52.00 Cr.upf
Ta 180.95 Ta.upf
Ba 137.33 Ba.upf
ATOMIC_POSITIONS angstrom
Cr 6.169 3.381 1.015
Ta 4.108 2.252 2.391
Ba 6.161 3.377 5.172
Cr 2.053 1.125 1.432
CELL_PARAMETERS angstrom
4.062 -0.093 0.009
2.108 3.474 0.009
2.044 1.120 6.643

***

# 3
! BaTaCr2 | Alexandria | PBE | optimized geometry; values from VASP
! Offset from the most stable computed form (eV/atom): 0.7749
&SYSTEM
  ibrav = 0, nat = 4, ntyp = 3
/
ATOMIC_SPECIES
Ba 137.33 Ba.upf
Ta 180.95 Ta.upf
Cr 52.00 Cr.upf
ATOMIC_POSITIONS angstrom
Ba 1.137 1.200 3.275
Ta -0.990 2.476 1.373
Cr 0.000 0.000 0.000
Cr -0.971 -0.888 2.836
CELL_PARAMETERS angstrom
-3.098 0.388 0.933
1.157 -2.165 4.738
1.117 4.564 1.812

***

# 4
! BaTaCr2 | Alexandria | PBE | optimized geometry; values from VASP
! Offset from the most stable computed form (eV/atom): 0.4870
&SYSTEM
  ibrav = 0, nat = 4, ntyp = 3
/
ATOMIC_SPECIES
Ta 180.95 Ta.upf
Ba 137.33 Ba.upf
Cr 52.00 Cr.upf
ATOMIC_POSITIONS angstrom
Ta -0.170 2.124 2.202
Ba 2.454 -0.492 1.768
Cr 0.000 0.000 0.000
Cr 0.043 -0.563 3.658
CELL_PARAMETERS angstrom
-2.581 2.053 4.092
2.667 -3.180 3.224
2.241 2.195 0.312

***

# 5
! BaTaCr2 | Alexandria | PBE | optimized geometry; values from VASP
! Offset from the most stable computed form (eV/atom): 0.6840
&SYSTEM
  ibrav = 0, nat = 4, ntyp = 3
/
ATOMIC_SPECIES
Cr 52.00 Cr.upf
Ba 137.33 Ba.upf
Ta 180.95 Ta.upf
ATOMIC_POSITIONS angstrom
Cr 0.000 0.000 0.000
Ba -0.761 0.366 5.982
Ta -0.380 0.183 2.991
Cr -1.141 0.549 8.973
CELL_PARAMETERS angstrom
-3.122 -0.852 3.723
1.727 -1.479 4.377
-0.126 3.064 3.864

***

# 6
! Ba2TaCr | Alexandria | PBE | optimized geometry; values from VASP
! Offset from the most stable computed form (eV/atom): 0.5984
&SYSTEM
  ibrav = 0, nat = 4, ntyp = 3
/
ATOMIC_SPECIES
Ta 180.95 Ta.upf
Ba 137.33 Ba.upf
Cr 52.00 Cr.upf
ATOMIC_POSITIONS angstrom
Ta 0.000 3.022 1.752
Ba 3.022 3.022 0.000
Ba 0.000 0.000 0.000
Cr 3.022 0.000 1.752
CELL_PARAMETERS angstrom
6.045 0.000 0.000
0.000 6.045 0.000
0.000 0.000 3.505

***

# 7
! Ba2TaCr | Alexandria | PBE | optimized geometry; values from VASP
! Offset from the most stable computed form (eV/atom): 0.2296
&SYSTEM
  ibrav = 0, nat = 4, ntyp = 3
/
ATOMIC_SPECIES
Ta 180.95 Ta.upf
Ba 137.33 Ba.upf
Cr 52.00 Cr.upf
ATOMIC_POSITIONS angstrom
Ta -3.570 -0.102 -2.027
Ba -0.625 1.357 -3.649
Ba -0.120 -0.063 -0.142
Cr -3.278 -1.727 -3.859
CELL_PARAMETERS angstrom
-1.349 -0.804 -6.677
-5.884 -3.007 -1.838
3.257 5.182 3.097

***

# 8
! BaTaCr3 | Alexandria | PBE | optimized geometry; values from VASP
! Offset from the most stable computed form (eV/atom): 1.5077
&SYSTEM
  ibrav = 0, nat = 5, ntyp = 3
/
ATOMIC_SPECIES
Cr 52.00 Cr.upf
Ta 180.95 Ta.upf
Ba 137.33 Ba.upf
ATOMIC_POSITIONS angstrom
Cr 0.000 2.419 0.000
Cr 0.000 0.000 2.419
Ta 2.419 2.419 2.419
Ba 0.000 0.000 0.000
Cr 2.419 0.000 0.000
CELL_PARAMETERS angstrom
4.838 0.000 0.000
0.000 4.838 0.000
0.000 0.000 4.838